(1)
Pa6Ni23 | PBE | optimized geometry

Cell: 8.3048 8.3048 8.3048 Å, 60.00 60.00 60.00°
Closest atoms and distances in Å follow each position.
Atoms (fractional coordinates):
Ni: 0.0000 0.0000 0.5000  8 Ni 2.40-2.56
Ni: 0.5123 0.8292 0.8292  9 Ni 2.40-2.63
Ni: 0.6230 0.6230 0.1310  7 Ni 2.50-2.56, 3 Pa 2.73
Ni: 0.8690 0.3770 0.3770  7 Ni 2.50-2.56, 3 Pa 2.73
Ni: 0.5000 0.5000 0.0000  8 Ni 2.40-2.56
Ni: 0.8292 0.5123 0.8292  9 Ni 2.40-2.63
Ni: 0.1708 0.1708 0.4877  9 Ni 2.40-2.63
Ni: 0.6230 0.1310 0.6230  7 Ni 2.50-2.56, 3 Pa 2.73
Ni: 0.8292 0.8292 0.8292  9 Ni 2.40-2.63
Ni: 0.5000 0.0000 0.0000  8 Ni 2.40-2.56
Ni: 0.4877 0.1708 0.1708  9 Ni 2.40-2.63
Ni: 0.0000 0.5000 0.5000  8 Ni 2.40-2.56
Ni: 0.0000 0.5000 0.0000  8 Ni 2.40-2.56
Ni: 0.8292 0.8292 0.5123  9 Ni 2.40-2.63
Ni: 0.3770 0.3770 0.3770  7 Ni 2.50-2.56, 3 Pa 2.73
Ni: 0.3770 0.8690 0.3770  7 Ni 2.50-2.56, 3 Pa 2.73
Ni: 0.1310 0.6230 0.6230  7 Ni 2.50-2.56, 3 Pa 2.73
Ni: 0.3770 0.3770 0.8690  7 Ni 2.50-2.56, 3 Pa 2.73
Ni: 0.1708 0.1708 0.1708  9 Ni 2.40-2.63
Ni: 0.6230 0.6230 0.6230  7 Ni 2.50-2.56, 3 Pa 2.73
Ni: 0.5000 0.5000 0.5000  8 Ni 2.50
Ni: 0.1708 0.4877 0.1708  9 Ni 2.40-2.63
Ni: 0.5000 0.0000 0.5000  8 Ni 2.40-2.56
Pa: 0.7773 0.2227 0.2227  12 Ni 2.73-2.95
Pa: 0.2227 0.2227 0.7773  12 Ni 2.73-2.95
Pa: 0.2227 0.7773 0.7773  12 Ni 2.73-2.95
Pa: 0.7773 0.7773 0.2227  12 Ni 2.73-2.95
Pa: 0.2227 0.7773 0.2227  12 Ni 2.73-2.95
Pa: 0.7773 0.2227 0.7773  12 Ni 2.73-2.95

crystal system	cubic
calculated total energy	-6.92	eV/atom
ΔH_f (0 K)	-0.37	eV/atom


(2)
Pa2Ni3 | PBE | optimized geometry

Cell: 5.0414 4.9258 7.9208 Å, 90.00 90.00 120.78°
Closest atoms and distances in Å follow each position.
Atoms (fractional coordinates):
Ni: 0.3575 0.2150 0.2500  4 Ni 2.52, 4 Pa 2.72-2.82
Ni: 0.5000 0.0000 0.5000  4 Ni 2.52
Ni: 0.0000 0.0000 0.0000  4 Ni 2.52
Ni: 0.1425 0.7850 0.7500  4 Ni 2.52, 4 Pa 2.72-2.82
Ni: 0.8575 0.2150 0.2500  4 Ni 2.52, 4 Pa 2.72-2.82
Ni: 0.6425 0.7850 0.7500  4 Ni 2.52, 4 Pa 2.72-2.82
Pa: 0.1500 0.3001 0.5907  8 Ni 2.72-3.00, 1 Pa 2.92
Pa: 0.3500 0.6999 0.0907  8 Ni 2.72-3.00, 1 Pa 2.92
Pa: 0.8500 0.6999 0.4093  8 Ni 2.72-3.00, 1 Pa 2.92
Pa: 0.6500 0.3001 0.9093  8 Ni 2.72-3.00, 1 Pa 2.92

polymorph energy (0 for the lowest one)	7	meV per atom
crystal system	orthorhombic
calculated total energy	-7.61	eV/atom
ΔH_f (0 K)	-0.34	eV/atom


(3)
PaNi12 | PBE | optimized geometry

Cell: 4.7071 6.2362 6.2362 Å, 81.81 67.83 67.83°
Closest atoms and distances in Å follow each position.
Atoms (fractional coordinates):
Ni: 0.2805 0.2195 0.2195  10 Ni 2.37-2.60
Ni: 0.5000 0.5000 0.0000  10 Ni 2.35-2.50
Ni: 0.7195 0.7805 0.7805  10 Ni 2.37-2.60
Ni: 0.0000 0.5000 0.0000  10 Ni 2.35-2.50
Ni: 0.0000 0.0000 0.5000  10 Ni 2.35-2.50
Ni: 0.6492 0.3508 0.3508  9 Ni 2.44-2.60
Ni: 0.5000 0.0000 0.5000  10 Ni 2.35-2.50
Ni: 0.3508 0.6492 0.6492  9 Ni 2.44-2.60
Ni: 0.0000 0.3508 0.6492  9 Ni 2.44-2.60
Ni: 0.5000 0.7805 0.2195  10 Ni 2.37-2.60
Ni: 0.0000 0.6492 0.3508  9 Ni 2.44-2.60
Ni: 0.5000 0.2195 0.7805  10 Ni 2.37-2.60
Pa: 0.0000 0.0000 0.0000  20 Ni 2.87-3.12

crystal system	tetragonal
calculated total energy	-6.22	eV/atom
ΔH_f (0 K)	-0.16	eV/atom


(4)
Pa3Ni | PBE | optimized geometry

Cell: 5.3933 5.8249 6.7990 Å, 125.69 90.00 90.00°
Closest atoms and distances in Å follow each position.
Atoms (fractional coordinates):
Pa: 0.2500 0.6200 0.4824  4 Pa 2.89-3.15, 2 Ni 3.16
Pa: 0.7500 0.3800 0.5176  4 Pa 2.89-3.15, 2 Ni 3.16
Pa: 0.7500 0.9998 0.6599  2 Ni 2.68, 2 Pa 2.89
Pa: 0.7500 0.6199 0.1376  4 Pa 2.89-3.15, 2 Ni 3.16
Pa: 0.2500 0.3801 0.8624  4 Pa 2.89-3.15, 2 Ni 3.16
Pa: 0.2500 0.0002 0.3401  2 Ni 2.68, 2 Pa 2.89
Ni: 0.0000 0.0000 0.0000  2 Pa 2.68, 2 Ni 2.70
Ni: 0.5000 0.0000 0.0000  2 Pa 2.68, 2 Ni 2.70

polymorph energy (0 for the lowest one)	105	meV per atom
crystal system	orthorhombic
calculated total energy	-8.60	eV/atom
ΔH_f (0 K)	-0.03	eV/atom


(5)
Pa3Ni | PBE | optimized geometry

Cell: 3.2659 5.4961 5.8238 Å, 118.16 106.28 90.00°
Closest atoms and distances in Å follow each position.
Atoms (fractional coordinates):
Pa: 0.2837 0.6525 0.5674  2 Ni 2.77
Pa: 0.5000 0.4225 0.0000  2 Ni 2.81
Pa: 0.7163 0.0851 0.4326  2 Ni 2.77
Ni: 0.0000 0.0065 0.0000  6 Pa 2.77-2.81

polymorph energy (0 for the lowest one)	32	meV per atom
crystal system	orthorhombic
calculated total energy	-8.67	eV/atom
ΔH_f (0 K)	-0.11	eV/atom


(6)
PaNi2 | PBE | optimized geometry

Cell: 5.0389 5.0389 5.0389 Å, 60.00 60.00 60.00°
Closest atoms and distances in Å follow each position.
Atoms (fractional coordinates):
Ni: 0.6250 0.6250 0.1250  6 Ni 2.52
Ni: 0.6250 0.6250 0.6250  6 Ni 2.52
Ni: 0.1250 0.6250 0.6250  6 Ni 2.52
Ni: 0.6250 0.1250 0.6250  6 Ni 2.52
Pa: 0.0000 0.0000 0.0000  12 Ni 2.95, 4 Pa 3.09
Pa: 0.2500 0.2500 0.2500  12 Ni 2.95, 4 Pa 3.09

crystal system	cubic
calculated total energy	-7.39	eV/atom
ΔH_f (0 K)	-0.37	eV/atom


(7)
Pa3Ni | PBE | optimized geometry

Cell: 3.1694 3.0864 9.0792 Å, 90.00 90.00 90.00°
Closest atoms and distances in Å follow each position.
Atoms (fractional coordinates):
Ni: 0.0000 0.0000 0.9796  6 Pa 2.76-2.77, 2 Ni 3.09
Pa: 0.0000 0.5000 0.4591  10 Pa 3.09-3.31
Pa: 0.5000 0.0000 0.7310  2 Ni 2.76, 2 Pa 3.09
Pa: 0.5000 0.5000 0.1636  4 Ni 2.77, 2 Pa 3.09

polymorph energy (0 for the lowest one)	235	meV per atom
crystal system	orthorhombic
calculated total energy	-8.47	eV/atom
ΔH_f (0 K)	0.10	eV/atom


(8)
Pa2Ni7 | PBE | optimized geometry

Cell: 4.8722 4.8722 12.5684 Å, 78.82 78.82 60.00°
Closest atoms and distances in Å follow each position.
Atoms (fractional coordinates):
Ni: 0.6107 0.1100 0.6686  7 Ni 2.43-2.50
Ni: 0.0000 0.5000 0.0000  8 Ni 2.44-2.47
Ni: 0.6107 0.6107 0.6686  7 Ni 2.43-2.50
Ni: 0.3893 0.3893 0.3314  7 Ni 2.43-2.50
Ni: 0.3884 0.3884 0.8347  6 Ni 2.47
Ni: 0.7220 0.7220 0.8340  6 Ni 2.47
Ni: 0.3893 0.8900 0.3314  7 Ni 2.43-2.50
Ni: 0.2780 0.2780 0.1660  6 Ni 2.47
Ni: 0.1100 0.6107 0.6686  7 Ni 2.43-2.50
Ni: 0.5000 0.5000 0.0000  8 Ni 2.44-2.47
Ni: 0.6116 0.6116 0.1653  6 Ni 2.47
Ni: 0.5000 0.5000 0.5000  6 Ni 2.50
Ni: 0.8900 0.3893 0.3314  7 Ni 2.43-2.50
Ni: 0.5000 0.0000 0.0000  8 Ni 2.44-2.47
Pa: 0.1469 0.1469 0.5592  9 Ni 2.78-2.90
Pa: 0.9507 0.9507 0.1480  12 Ni 2.82-3.04
Pa: 0.0493 0.0493 0.8520  12 Ni 2.82-3.04
Pa: 0.8531 0.8531 0.4408  9 Ni 2.78-2.90

crystal system	trigonal
calculated total energy	-7.03	eV/atom
ΔH_f (0 K)	-0.43	eV/atom


(9)
Pa2NiPb | PBE | optimized geometry

Cell: 3.1958 3.1958 10.8907 Å, 81.56 81.56 60.00°
Closest atoms and distances in Å follow each position.
Atoms (fractional coordinates):
Ni: 0.0000 0.0000 0.0000  2 Pa 2.50
Pa: 0.0775 0.0775 0.7675  1 Ni 2.50
Pa: 0.9225 0.9225 0.2325  1 Ni 2.50
Pb: 0.5000 0.5000 0.5000  6 Pb 3.20, 6 Pa 3.41

polymorph energy (0 for the lowest one)	488	meV per atom
crystal system	trigonal
calculated total energy	-6.71	eV/atom
ΔH_f (0 K)	0.41	eV/atom


(10)
PaNi2Pb | PBE | optimized geometry

Cell: 4.6899 4.6899 4.6899 Å, 60.00 60.00 60.00°
Closest atoms and distances in Å follow each position.
Atoms (fractional coordinates):
Pb: 0.5000 0.5000 0.5000  8 Ni 2.87
Ni: 0.7500 0.7500 0.7500  4 Pa 2.87, 4 Pb 2.87
Ni: 0.2500 0.2500 0.2500  4 Pb 2.87, 4 Pa 2.87
Pa: 0.0000 0.0000 0.0000  8 Ni 2.87

crystal system	cubic
calculated total energy	-6.37	eV/atom
ΔH_f (0 K)	-0.18	eV/atom


(11)
Pa2NiPb | PBE | optimized geometry

Cell: 3.2504 3.2504 8.5692 Å, 90.00 90.00 90.00°
Closest atoms and distances in Å follow each position.
Atoms (fractional coordinates):
Pa: 0.0000 0.0000 0.7956  4 Ni 2.89
Pa: 0.0000 0.0000 0.2044  4 Ni 2.89
Ni: 0.5000 0.5000 0.0000  8 Pa 2.89
Pb: 0.5000 0.5000 0.5000  4 Pb 3.25, 8 Pa 3.42

polymorph energy (0 for the lowest one)	0	meV per atom
crystal system	tetragonal
calculated total energy	-7.20	eV/atom
ΔH_f (0 K)	-0.08	eV/atom


(12)
PaNiPdPb | PBE | optimized geometry

Cell: 4.8156 4.8156 4.8156 Å, 60.00 60.00 60.00°
Closest atoms and distances in Å follow each position.
Atoms (fractional coordinates):
Ni: 0.2500 0.2500 0.2500  4 Pb 2.95, 4 Pa 2.95
Pa: 0.5000 0.5000 0.5000  4 Pd 2.95, 4 Ni 2.95
Pd: 0.7500 0.7500 0.7500  4 Pb 2.95, 4 Pa 2.95
Pb: 0.0000 0.0000 0.0000  4 Ni 2.95, 4 Pd 2.95

crystal system	cubic
calculated total energy	-6.33	eV/atom
ΔH_f (0 K)	-0.29	eV/atom


Q: What is the formula in the tenth record?
A: PaNi2Pb


Q: Which value of calculated total energy does entry 6 give?
A: -7.39 eV/atom